Density functional theory data (PBE) for a relaxed Ba2InMoOs crystal.

abc: 5.8567 5.2594 5.8567
angles: 90.00 90.00 90.00
With the nearest neighbours (Å) after each atom.
Positions (direct):
Mo 0.5000 0.5000 0.5000  8 Ba 3.94, 4 In 4.14
Os 0.0000 0.0000 0.0000  2 In 2.63, 4 Ba 2.93
Ba 0.0000 0.0000 0.5000  2 Os 2.93
Ba 0.5000 0.0000 0.0000  2 Os 2.93
In 0.0000 0.5000 0.0000  2 Os 2.63

Values from the calculation:
* space group: P4/mmm
* M_tot: 4.765 μB per formula unit
* electronic total energy: -4.646 eV per atom